[1]
The following is a GGA-PBE calculation of a relaxed NbI2N2 crystal, from the Alexandria database.

```
NbI2N2
1.0
4.1119 0.0000 0.0000
0.0000 4.1119 0.0000
0.0000 0.0000 7.2962
Nb I N
1 2 2
direct
0.0000 0.0000 0.0000
0.5000 0.5000 0.0000
0.5000 0.5000 0.5000
0.0000 0.5000 0.5000
0.5000 0.0000 0.5000
```

Properties
**ΔE to the lowest computed polymorph**: 1.434 eV/atom
**Symmetry**: P4/mmm, No. 123
**Formation energy from raw total energies**: 10.7 eV per formula unit

---

[2]
The following is a GGA-PBE calculation of a relaxed NbNiI2N crystal, from the Alexandria database.

```
NbNiI2N
1.0
5.5156 0.0000 0.0000
0.0000 5.5156 0.0000
0.0000 0.0000 3.4613
Nb Ni I N
1 1 2 1
direct
0.0000 0.0000 0.0000
0.5000 0.5000 0.5000
0.0000 0.5000 0.5000
0.5000 0.0000 0.5000
0.5000 0.5000 0.0000
```

Properties
**ΔE to the lowest computed polymorph**: 0.279 eV/atom
**Symmetry**: P4/mmm, No. 123
**Formation energy from raw total energies**: 4.3 eV per formula unit

---

[3]
The following is a GGA-PBE calculation of a relaxed NbNiIN2 crystal, from the Alexandria database.

```
NbNiIN2
1.0
3.9819 0.0000 0.0000
0.0000 3.9819 0.0000
0.0000 0.0000 6.0192
Nb Ni I N
1 1 1 2
direct
0.0000 0.0000 0.0000
0.5000 0.5000 0.5000
0.0000 0.0000 0.5000
0.0000 0.5000 0.0000
0.5000 0.0000 0.0000
```

Properties
**ΔE to the lowest computed polymorph**: 0.000 eV/atom
**Symmetry**: P4/mmm, No. 123
**Formation energy from raw total energies**: 3.3 eV per formula unit

---

[4]
The following is a GGA-PBE calculation of a relaxed NbNiI2N crystal, from the Alexandria database.

```
NbNiI2N
1.0
5.6846 0.0000 0.0000
0.0000 5.6846 0.0000
0.0000 0.0000 3.8948
Nb Ni I N
1 1 2 1
direct
0.0000 0.0000 0.0000
0.5000 0.5000 0.5000
0.0000 0.5000 0.0000
0.5000 0.0000 0.0000
0.0000 0.0000 0.5000
```

Properties
**ΔE to the lowest computed polymorph**: 0.000 eV/atom
**Symmetry**: P4/mmm, No. 123
**Formation energy from raw total energies**: 2.9 eV per formula unit